A geometry-optimized CsSmAgI5 structure, computed with PBE-GGA.

- Uncorrected formation energy: -1.149 eV/atom
- Space group: No. 15
- Size of the total moment: 0.00 μB per formula unit
- Density of states at the Fermi level: 0.00 states/eV per atom

a = 8.686 Å, b = 8.686 Å, c = 11.741 Å
α = 102.89°, β = 102.89°, γ = 106.58°
Element x y z (fractional)
Cs: 0.352 0.648 0.250
Cs: 0.648 0.352 0.750
Sm: 0.000 0.000 0.500
Sm: 0.000 0.000 0.000
Ag: 0.690 0.310 0.250
Ag: 0.310 0.690 0.750
I: 0.073 0.927 0.250
I: 0.927 0.073 0.750
I: 0.905 0.311 0.098
I: 0.095 0.689 0.902
I: 0.689 0.095 0.402
I: 0.311 0.905 0.598
I: 0.769 0.628 0.437
I: 0.231 0.372 0.563
I: 0.372 0.231 0.063
I: 0.628 0.769 0.937